[1]
InAsAu: optimized geometry, GGA-PBE.

Lattice parameters (Å, degrees): 4.628 4.628 4.628 60.00 60.00 60.00
Fractional positions:
In: 0.000 0.000 0.000
As: 0.500 0.500 0.500
Au: 0.750 0.750 0.750

Results
The volume is 23.36 A^3/atom. Its formation energy is -0.001 eV/atom. The calculation puts the total energy at -10.7 eV per cell. The density of states at the Fermi level is 2.178 states/eV/f.u.



[2]
Sr2Ac3In3: optimized geometry, GGA-PBE.

Lattice parameters (Å, degrees): 4.131 5.932 12.971 103.22 99.16 90.00
Fractional positions:
Ac: 0.385 0.385 0.770
Ac: 0.615 0.615 0.230
Ac: 0.500 0.000 0.000
Sr: 0.726 0.226 0.452
Sr: 0.274 0.774 0.548
In: 0.117 0.117 0.234
In: 0.000 0.500 0.000
In: 0.883 0.883 0.766

Results
The volume is 38.16 A^3/atom. Its formation energy is -0.266 eV/atom. The calculation puts the total energy at -26.0 eV per cell. The density of states at the Fermi level is 10.861 states/eV/f.u.



[3]
NaNdC2O6: optimized geometry, GGA-PBE.

Lattice parameters (Å, degrees): 5.171 6.444 7.154 90.00 90.00 90.00
Fractional positions:
Na: 0.000 0.523 0.527
Na: 0.000 0.477 0.027
O: 0.500 0.233 0.665
O: 0.000 0.854 0.912
O: 0.779 0.883 0.537
O: 0.287 0.513 0.779
O: 0.779 0.117 0.037
O: 0.000 0.146 0.412
O: 0.221 0.117 0.037
O: 0.287 0.487 0.279
O: 0.221 0.883 0.537
O: 0.713 0.513 0.779
O: 0.713 0.487 0.279
O: 0.500 0.767 0.165
C: 0.500 0.417 0.742
C: 0.000 0.030 0.000
C: 0.500 0.583 0.242
C: 0.000 0.970 0.500
Nd: 0.500 0.865 0.828
Nd: 0.500 0.135 0.328

Results
The volume is 11.92 A^3/atom. The calculation puts the total energy at -150.7 eV per cell. The density of states at the Fermi level is 0.000 states/eV/f.u. The energy above the most stable polymorph in this dataset is 0 meV/atom. Its formation energy without anion corrections is -21.07 eV per formula unit.



[4]
FeAgAs2: optimized geometry, GGA-PBE.

Lattice parameters (Å, degrees): 2.938 2.938 7.590 90.00 90.00 90.00
Each line ends with the local moment (μB).
Fractional positions:
As: 0.000 0.000 0.058  -0.04
As: 0.000 0.000 0.442  -0.04
Fe: 0.500 0.500 0.250  1.17
Ag: 0.500 0.500 0.750  0.01

Results
The volume is 16.38 A^3/atom. Its formation energy is 0.095 eV/atom. The calculation puts the total energy at -20.2 eV per cell. The density of states at the Fermi level is 1.551 states/eV/f.u. The energy above the most stable polymorph in this dataset is 47 meV/atom.



[5]
CaPrGaS4: optimized geometry, GGA-PBE.

Lattice parameters (Å, degrees): 7.841 7.920 7.920 60.76 60.33 60.33
Fractional positions:
S: 0.254 0.252 0.239
S: 0.738 0.253 0.753
S: 0.744 0.747 0.247
S: 0.262 0.747 0.247
S: 0.254 0.739 0.752
S: 0.256 0.253 0.753
S: 0.746 0.261 0.248
S: 0.746 0.748 0.761
Ga: 0.631 0.619 0.119
Ga: 0.369 0.381 0.881
Pr: 0.000 0.000 0.000
Pr: 0.000 0.500 0.500
Ca: 0.500 0.000 0.500
Ca: 0.000 0.000 0.500

Results
The volume is 25.10 A^3/atom. The calculation puts the total energy at -73.1 eV per cell. The density of states at the Fermi level is 0.713 states/eV/f.u. Its formation energy without anion corrections is -10.25 eV per formula unit.



[6]
Cs2LiTaCu: optimized geometry, GGA-PBE.

Lattice parameters (Å, degrees): 6.883 5.074 6.883 90.00 90.00 90.00
Each line ends with the local moment (μB).
Fractional positions:
Cs: 0.000 0.000 0.500  0.03
Cs: 0.500 0.000 0.000  0.02
Li: 0.500 0.500 0.500  -0.02
Cu: 0.000 0.000 0.000  0.01
Ta: 0.000 0.500 0.000  2.00

Results
The volume is 48.08 A^3/atom. Its formation energy is 1.221 eV/atom. The calculation puts the total energy at -13.5 eV per cell. The density of states at the Fermi level is 4.796 states/eV/f.u.



[7]
Cr4Rh5: optimized geometry, GGA-PBE.

Lattice parameters (Å, degrees): 3.765 5.910 5.910 84.18 71.42 71.42
Fractional positions:
Cr: 0.000 0.659 0.341
Cr: 0.341 0.659 0.659
Cr: 0.659 0.341 0.341
Cr: 0.000 0.341 0.659
Rh: 0.331 0.000 0.339
Rh: 0.669 0.661 0.000
Rh: 0.000 0.000 0.000
Rh: 0.331 0.339 0.000
Rh: 0.669 0.000 0.661

Results
The volume is 13.13 A^3/atom. Its formation energy is 0.000 eV/atom. The calculation puts the total energy at -75.3 eV per cell. The density of states at the Fermi level is 13.112 states/eV/f.u. The energy above the most stable polymorph in this dataset is 6 meV/atom.



[8]
TbSmHo5Tm2: optimized geometry, GGA-PBE.

Lattice parameters (Å, degrees): 5.565 10.247 10.499 90.00 90.00 105.76
Fractional positions:
Tm: 0.886 0.773 0.819
Tm: 0.114 0.227 0.319
Tm: 0.110 0.220 0.737
Tm: 0.890 0.780 0.237
Ho: 0.299 0.598 0.709
Ho: 0.719 0.437 0.811
Ho: 0.610 0.221 0.524
Ho: 0.281 0.563 0.311
Ho: 0.018 0.035 0.025
Ho: 0.701 0.402 0.209
Ho: 0.982 0.965 0.525
Ho: 0.522 0.044 0.237
Ho: 0.478 0.956 0.737
Ho: 0.390 0.779 0.024
Sm: 0.585 0.169 0.951
Sm: 0.415 0.831 0.451
Tb: 0.800 0.601 0.512
Tb: 0.200 0.399 0.012

Results
The volume is 32.01 A^3/atom. Its formation energy is 0.162 eV/atom. The calculation puts the total energy at -79.4 eV per cell. The density of states at the Fermi level is 14.411 states/eV/f.u.



[9]
DySc2Tl2Zn2: optimized geometry, GGA-PBE.

Lattice parameters (Å, degrees): 4.680 4.680 8.856 74.68 74.68 60.00
Each line ends with the local moment (μB).
Fractional positions:
Dy: 0.000 0.000 0.000  0.09
Sc: 0.137 0.137 0.590  0.13
Sc: 0.863 0.863 0.410  0.13
Zn: 0.555 0.555 0.334  0.00
Zn: 0.445 0.445 0.666  0.00
Tl: 0.264 0.264 0.208  0.00
Tl: 0.736 0.736 0.792  0.00

Results
The volume is 22.85 A^3/atom. Its formation energy is -0.166 eV/atom. The calculation puts the total energy at -25.7 eV per cell. The density of states at the Fermi level is 4.782 states/eV/f.u.



[10]
Hf2PtAu: optimized geometry, GGA-PBE.

Lattice parameters (Å, degrees): 7.219 7.219 6.087 53.63 53.63 90.00
Fractional positions:
Hf: 0.875 0.861 0.750
Hf: 0.611 0.125 0.250
Hf: 0.375 0.389 0.750
Hf: 0.139 0.625 0.250
Pt: 0.250 0.750 0.500
Pt: 0.500 0.500 0.000
Au: 0.000 0.000 0.000
Au: 0.750 0.250 0.500

Results
The volume is 21.60 A^3/atom. Its formation energy is -0.277 eV/atom. The calculation puts the total energy at -60.7 eV per cell. The density of states at the Fermi level is 6.300 states/eV/f.u.



[11]
SrDyZn: optimized geometry, GGA-PBE.

Lattice parameters (Å, degrees): 3.734 3.734 7.172 105.09 105.09 90.00
Each line ends with the local moment (μB).
Fractional positions:
Sr: 0.022 0.022 0.043  0.00
Dy: 0.294 0.294 0.587  0.06
Zn: 0.685 0.685 0.369  0.00

Results
The volume is 30.99 A^3/atom. Its formation energy is -0.110 eV/atom. The calculation puts the total energy at -7.9 eV per cell. The density of states at the Fermi level is 3.448 states/eV/f.u.



[12]
Rb2TlSeI6: optimized geometry, GGA-PBE.

Lattice parameters (Å, degrees): 8.694 8.694 8.643 59.81 59.81 90.00
Fractional positions:
Tl: 0.000 0.000 0.000
I: 0.254 0.254 0.000
I: 0.254 0.746 0.000
I: 0.746 0.254 0.000
I: 0.270 0.270 0.461
I: 0.730 0.730 0.539
I: 0.746 0.746 0.000
Rb: 0.250 0.750 0.500
Rb: 0.750 0.250 0.500
Se: 0.500 0.500 0.000

Results
The volume is 45.92 A^3/atom. The calculation puts the total energy at -23.6 eV per cell. The density of states at the Fermi level is 4.393 states/eV/f.u. Its formation energy without anion corrections is -6.49 eV per formula unit.



[13]
RbTl2Se6: optimized geometry, GGA-PBE.

Lattice parameters (Å, degrees): 4.265 10.125 8.796 125.14 104.03 90.00
Fractional positions:
Tl: 0.164 0.164 0.328
Tl: 0.836 0.836 0.672
Se: 0.500 0.832 0.000
Se: 0.660 0.426 0.319
Se: 0.340 0.106 0.681
Se: 0.660 0.894 0.319
Se: 0.500 0.168 0.000
Se: 0.340 0.574 0.681
Rb: 0.000 0.500 0.000

Results
The volume is 32.96 A^3/atom. The calculation puts the total energy at -29.0 eV per cell. The density of states at the Fermi level is 3.017 states/eV/f.u. Its formation energy without anion corrections is -2.41 eV per formula unit.



[14]
ScB3Pd: optimized geometry, GGA-PBE.

Lattice parameters (Å, degrees): 4.057 4.057 4.057 90.00 90.00 90.00
Fractional positions:
Pd: 0.000 0.000 0.000
B: 0.500 0.000 0.000
B: 0.000 0.000 0.500
B: 0.000 0.500 0.000
Sc: 0.500 0.500 0.500

Results
The volume is 13.35 A^3/atom. Its formation energy is 0.885 eV/atom. The calculation puts the total energy at -27.1 eV per cell. The density of states at the Fermi level is 3.904 states/eV/f.u. The energy above the most stable polymorph in this dataset is 0 meV/atom.



[15]
MgInI2: optimized geometry, GGA-PBE.

Lattice parameters (Å, degrees): 8.793 8.793 7.305 53.00 53.00 90.00
Each line ends with the local moment (μB).
Fractional positions:
I: 0.875 0.809 0.750  0.04
I: 0.559 0.125 0.250  0.04
I: 0.191 0.625 0.250  0.04
I: 0.375 0.441 0.750  0.04
In: 0.000 0.000 0.000  0.12
In: 0.750 0.250 0.500  0.12
Mg: 0.500 0.500 0.000  0.05
Mg: 0.250 0.750 0.500  0.04

Results
The volume is 37.06 A^3/atom. The calculation puts the total energy at -17.7 eV per cell. The density of states at the Fermi level is 1.756 states/eV/f.u. The energy above the most stable polymorph in this dataset is 0 meV/atom. Its formation energy without anion corrections is -1.41 eV per formula unit.



[16]
TbTlOs2O8: optimized geometry, GGA-PBE.

Lattice parameters (Å, degrees): 6.044 6.044 7.799 90.00 90.00 120.00
Each line ends with the local moment (μB).
Fractional positions:
O: 0.828 0.168 0.320  0.15
O: 0.340 0.172 0.320  0.15
O: 0.660 0.828 0.680  0.15
O: 0.168 0.340 0.680  0.15
O: 0.667 0.333 0.014  0.19
O: 0.832 0.660 0.320  0.15
O: 0.333 0.667 0.986  0.19
O: 0.172 0.832 0.680  0.15
Tl: 0.000 0.000 0.000  0.02
Os: 0.333 0.667 0.759  1.10
Os: 0.667 0.333 0.241  1.10
Tb: 0.000 0.000 0.500  0.09

Results
The volume is 20.56 A^3/atom. The calculation puts the total energy at -85.7 eV per cell. The density of states at the Fermi level is 2.112 states/eV/f.u. Its formation energy without anion corrections is -16.55 eV per formula unit.



[17]
PmPrEuHo: optimized geometry, GGA-PBE.

Lattice parameters (Å, degrees): 5.846 5.846 5.846 60.00 60.00 60.00
Each line ends with the local moment (μB).
Fractional positions:
Pr: 0.250 0.250 0.250  0.11
Eu: 0.500 0.500 0.500  6.86
Ho: 0.000 0.000 0.000  0.13
Pm: 0.750 0.750 0.750  0.10

Results
The volume is 35.32 A^3/atom. Its formation energy is 0.134 eV/atom. The calculation puts the total energy at -23.8 eV per cell. The density of states at the Fermi level is 6.433 states/eV/f.u. The energy above the most stable polymorph in this dataset is 0 meV/atom.



[18]
Pr5NdDy6: optimized geometry, GGA-PBE.

Lattice parameters (Å, degrees): 11.889 6.301 6.301 60.00 84.95 79.85
Fractional positions:
Dy: 0.250 0.584 0.333
Dy: 0.250 0.250 0.000
Dy: 0.750 0.416 0.667
Dy: 0.750 0.750 0.000
Dy: 0.750 0.083 0.333
Dy: 0.250 0.917 0.667
Nd: 0.000 0.000 0.000
Pr: 0.500 0.833 0.333
Pr: 0.000 0.667 0.667
Pr: 0.500 0.500 0.000
Pr: 0.000 0.333 0.333
Pr: 0.500 0.167 0.667

Results
The volume is 33.54 A^3/atom. Its formation energy is 0.011 eV/atom. The calculation puts the total energy at -56.1 eV per cell. The density of states at the Fermi level is 13.353 states/eV/f.u. The energy above the most stable polymorph in this dataset is 0 meV/atom.



[19]
LaBi2N2: optimized geometry, GGA-PBE.

Lattice parameters (Å, degrees): 4.811 4.811 6.306 67.58 67.58 90.00
Fractional positions:
La: 0.000 0.000 0.000
N: 0.554 0.554 0.892
N: 0.446 0.446 0.108
Bi: 0.750 0.250 0.500
Bi: 0.250 0.750 0.500

Results
The volume is 24.58 A^3/atom. The calculation puts the total energy at -30.0 eV per cell. The density of states at the Fermi level is 2.031 states/eV/f.u. The energy above the most stable polymorph in this dataset is 0 meV/atom. Its formation energy without anion corrections is -0.66 eV per formula unit.



[20]
U2In5I12: optimized geometry, GGA-PBE.

Lattice parameters (Å, degrees): 8.972 10.605 11.266 107.25 90.00 115.03
Each line ends with the local moment (μB).
Fractional positions:
In: 0.283 0.567 0.624  0.00
In: 0.717 0.433 0.376  0.00
In: 0.681 0.361 0.774  0.00
In: 0.000 0.000 0.500  0.00
In: 0.319 0.639 0.226  0.00
I: 0.397 0.286 0.552  0.00
I: 0.603 0.714 0.448  0.00
I: 0.096 0.673 0.921  -0.04
I: 0.997 0.994 0.809  -0.03
I: 0.904 0.327 0.079  -0.04
I: 0.003 0.006 0.191  -0.03
I: 0.111 0.714 0.448  0.00
I: 0.423 0.327 0.079  -0.04
I: 0.495 0.990 0.801  -0.03
I: 0.577 0.673 0.921  -0.04
I: 0.505 0.010 0.199  -0.03
I: 0.889 0.286 0.552  0.00
U: 0.747 0.000 0.000  2.55
U: 0.253 0.000 0.000  2.55

Results
The volume is 48.31 A^3/atom. The calculation puts the total energy at -66.2 eV per cell. The density of states at the Fermi level is 11.543 states/eV/f.u. Its formation energy without anion corrections is -11.30 eV per formula unit.



[21]
KSr4Os: optimized geometry, GGA-PBE.

Lattice parameters (Å, degrees): 7.240 7.240 7.240 60.00 60.00 60.00
Each line ends with the local moment (μB).
Fractional positions:
Sr: 0.373 0.880 0.373  -0.04
Sr: 0.373 0.373 0.880  -0.04
Sr: 0.373 0.373 0.373  -0.04
Sr: 0.880 0.373 0.373  -0.04
Os: 0.000 0.000 0.000  1.80
K: 0.750 0.750 0.750  0.00

Results
The volume is 44.73 A^3/atom. Its formation energy is 1.199 eV/atom. The calculation puts the total energy at -11.9 eV per cell. The density of states at the Fermi level is 10.380 states/eV/f.u.



[22]
Tl4BiCl7: optimized geometry, GGA-PBE.

Lattice parameters (Å, degrees): 5.364 7.623 11.509 112.04 103.47 90.00
Fractional positions:
Cl: 0.278 0.217 0.555
Cl: 0.110 0.322 0.220
Cl: 0.924 0.205 0.848
Cl: 0.076 0.795 0.152
Cl: 0.500 0.000 0.000
Cl: 0.722 0.783 0.445
Cl: 0.890 0.678 0.780
Tl: 0.586 0.539 0.173
Tl: 0.698 0.150 0.397
Tl: 0.302 0.850 0.603
Tl: 0.414 0.461 0.827
Bi: 0.000 0.000 0.000

Results
The volume is 35.18 A^3/atom. The calculation puts the total energy at -38.2 eV per cell. The density of states at the Fermi level is 0.000 states/eV/f.u. Its formation energy without anion corrections is -11.96 eV per formula unit.



[23]
Na3Al2Sn4: optimized geometry, GGA-PBE.

Lattice parameters (Å, degrees): 4.632 6.571 8.666 99.80 90.00 110.64
Fractional positions:
Sn: 0.298 0.596 0.931
Sn: 0.918 0.836 0.610
Sn: 0.082 0.164 0.390
Sn: 0.702 0.404 0.069
Na: 0.398 0.797 0.292
Na: 0.602 0.203 0.708
Na: 0.000 0.000 0.000
Al: 0.287 0.575 0.609
Al: 0.713 0.425 0.391

Results
The volume is 26.97 A^3/atom. Its formation energy is -0.101 eV/atom. The calculation puts the total energy at -28.4 eV per cell. The density of states at the Fermi level is 2.540 states/eV/f.u.